No. 1
VASP calculation (GGA-PBE) on a relaxed structure of Ce5Pt2Au.

The structure in POSCAR format:
```
Ce5Pt2Au
1.0
2.334 -5.227 0.000
2.334 5.227 0.000
0.000 0.000 16.176
Ce Pt Au
10 4 2
Direct
0.071 0.929 0.572
0.071 0.929 0.928
0.284 0.716 0.250
0.413 0.587 0.608
0.413 0.587 0.892
0.587 0.413 0.108
0.587 0.413 0.392
0.716 0.284 0.750
0.929 0.071 0.072
0.929 0.071 0.428
0.257 0.743 0.070
0.257 0.743 0.430
0.743 0.257 0.570
0.743 0.257 0.930
0.010 0.990 0.750
0.990 0.010 0.250
```

## Properties
Formation energy: -0.67 eV/atom

---

No. 2
VASP calculation (GGA-PBE) on a relaxed structure of CdBiRuPb2.

The structure in POSCAR format:
```
CdBiRuPb2
1.0
5.990 0.000 0.000
0.000 5.990 0.000
0.000 0.000 5.566
Cd Bi Ru Pb
1 1 1 2
Direct
0.000 0.000 0.000
0.000 0.000 0.500
0.500 0.500 0.000
0.000 0.500 0.500
0.500 0.000 0.500
```

## Properties
Formation energy: 1.48 eV/atom

---

No. 3
VASP calculation (GGA-PBE) on a relaxed structure of LaAl2Au10.

The structure in POSCAR format:
```
LaAl2Au10
1.0
0.000 6.448 6.934
2.807 0.000 6.934
2.807 6.448 0.000
La Al Au
1 2 10
Direct
0.000 0.000 0.000
0.000 0.500 0.000
0.500 0.000 0.500
0.000 0.000 0.500
0.015 0.332 0.668
0.277 0.492 0.508
0.332 0.015 0.985
0.492 0.277 0.723
0.500 0.500 0.000
0.508 0.723 0.277
0.668 0.985 0.015
0.723 0.508 0.492
0.985 0.668 0.332
```

## Properties
Formation energy: -0.37 eV/atom